{
  "formula": "LiTc2MoO8",
  "functional": "PBE with a Hubbard U",
  "state": "relaxed",
  "lattice_angstrom": [[3.341, -3.539, 0.000], [3.341, 3.539, 0.000], [0.000, 0.000, 5.755]],
  "species": ["Li", "Tc", "Tc", "Mo", "O", "O", "O", "O", "O", "O", "O", "O"],
  "fractional_positions": [[0.000, 0.000, 0.000], [0.500, 0.500, 0.265], [0.500, 0.500, 0.735], [0.000, 0.000, 0.500], [0.208, 0.208, 0.272], [0.208, 0.208, 0.728], [0.286, 0.714, 0.500], [0.328, 0.672, 0.000], [0.672, 0.328, 0.000], [0.714, 0.286, 0.500], [0.792, 0.792, 0.272], [0.792, 0.792, 0.728]],
  "sg": "No. 65",
  "dft_energy_ev_per_atom": -7.31
}